4
Lattice="-5.3179 -3.7747 3.6673 -0.8740 -4.5057 5.9087 1.8852 6.1340 -3.8469" Properties=species:S:1:pos:R:3 comment="Pt2PbW (GGA-PBE, optimized geometry)" e_form_ev_per_fu=0.69 spacegroup=Imm2 e_tot_ev_per_cell=-28.05 pbc="T T T"
Pb -1.4032 -1.7385 3.9829
Pt -5.9983 -8.0215 9.2765
Pt -2.8884 -0.3878 1.7228
W -3.3047 -4.4194 5.1108